(1)
# CoIr2Pt, relaxed, DFT PBE
# space group	Pmmm, No. 47
# energy relative to the lowest polymorph listed for this composition	66	meV per atom
data_CoIr2Pt
_cell_length_a 2.725
_cell_length_b 3.774
_cell_length_c 5.455
_cell_angle_alpha 90.00
_cell_angle_beta 90.00
_cell_angle_gamma 90.00
_space_group_name_H-M_alt 'P 1'
_space_group_IT_number 1
loop_
_space_group_symop_operation_xyz
'x,y,z'
loop_
_atom_site_label
_atom_site_fract_x
_atom_site_fract_y
_atom_site_fract_z
Ir1 0.000 0.000 0.987
Ir2 0.000 0.000 0.513
Co1 0.500 0.500 0.750
Pt1 0.500 0.500 0.250

(2)
# ScCdSb2, relaxed, DFT PBE
# space group	Cmmm, No. 65
# energy relative to the elements, uncorrected	-0.2473	eV per atom
data_ScCdSb2
_cell_length_a 3.451
_cell_length_b 3.451
_cell_length_c 8.686
_cell_angle_alpha 90.00
_cell_angle_beta 90.00
_cell_angle_gamma 97.38
_space_group_name_H-M_alt 'P 1'
_space_group_IT_number 1
loop_
_space_group_symop_operation_xyz
'x,y,z'
loop_
_atom_site_label
_atom_site_fract_x
_atom_site_fract_y
_atom_site_fract_z
Sb1 0.000 0.000 0.474
Sb2 0.000 0.000 0.026
Cd1 0.500 0.500 0.750
Sc1 0.500 0.500 0.250

(3)
# Cs2Rb4Br3F2, relaxed, DFT PBE
# space group	I4/mmm, No. 139
# energy relative to the elements, uncorrected	-1.8700	eV per atom
data_Cs2Rb4Br3F2
_cell_length_a 5.489
_cell_length_b 5.489
_cell_length_c 16.861
_cell_angle_alpha 99.37
_cell_angle_beta 99.37
_cell_angle_gamma 90.00
_space_group_name_H-M_alt 'P 1'
_space_group_IT_number 1
loop_
_space_group_symop_operation_xyz
'x,y,z'
loop_
_atom_site_label
_atom_site_fract_x
_atom_site_fract_y
_atom_site_fract_z
Cs1 0.680 0.681 0.361
Cs2 0.320 0.319 0.639
Rb1 0.927 0.427 0.854
Rb2 0.073 0.573 0.146
Rb3 0.573 0.073 0.146
Rb4 0.427 0.927 0.854
Br1 0.139 0.139 0.278
Br2 0.000 0.000 0.000
Br3 0.861 0.861 0.722
F1 0.412 0.412 0.824
F2 0.588 0.588 0.176

(4)
# CsGe6Cl12, relaxed, DFT PBE
# space group	R-3m, No. 166
# energy relative to the elements, uncorrected	-0.7037	eV per atom
data_CsGe6Cl12
_cell_length_a 8.649
_cell_length_b 8.649
_cell_length_c 8.649
_cell_angle_alpha 106.47
_cell_angle_beta 106.47
_cell_angle_gamma 106.47
_space_group_name_H-M_alt 'P 1'
_space_group_IT_number 1
loop_
_space_group_symop_operation_xyz
'x,y,z'
loop_
_atom_site_label
_atom_site_fract_x
_atom_site_fract_y
_atom_site_fract_z
Cl1 0.884 0.116 0.500
Cl2 0.116 0.884 0.500
Cl3 0.500 0.116 0.884
Cl4 0.589 0.589 0.844
Cl5 0.411 0.411 0.156
Cl6 0.116 0.500 0.884
Cl7 0.156 0.411 0.411
Cl8 0.844 0.589 0.589
Cl9 0.589 0.844 0.589
Cl10 0.411 0.156 0.411
Cl11 0.500 0.884 0.116
Cl12 0.884 0.500 0.116
Ge1 0.779 0.416 0.779
Ge2 0.779 0.779 0.416
Ge3 0.221 0.221 0.584
Ge4 0.416 0.779 0.779
Ge5 0.221 0.584 0.221
Ge6 0.584 0.221 0.221
Cs1 0.000 0.000 0.000

(5)
# LaSm4Dy5, relaxed, DFT PBE
# space group	C2/m, No. 12
# energy relative to the lowest polymorph listed for this composition	0	meV per atom
data_LaSm4Dy5
_cell_length_a 3.602
_cell_length_b 7.184
_cell_length_c 13.936
_cell_angle_alpha 97.41
_cell_angle_beta 112.79
_cell_angle_gamma 89.96
_space_group_name_H-M_alt 'P 1'
_space_group_IT_number 1
loop_
_space_group_symop_operation_xyz
'x,y,z'
loop_
_atom_site_label
_atom_site_fract_x
_atom_site_fract_y
_atom_site_fract_z
La1 0.500 0.000 0.000
Dy1 0.500 0.500 0.000
Dy2 0.896 0.399 0.597
Dy3 0.104 0.601 0.403
Dy4 0.896 0.899 0.597
Dy5 0.104 0.101 0.403
Sm1 0.694 0.201 0.796
Sm2 0.695 0.696 0.796
Sm3 0.305 0.304 0.204
Sm4 0.306 0.799 0.204

(6)
# Sr2LiPb6, relaxed, DFT PBE
# final energy	-3.375	eV per atom
# space group	Fm-3m, No. 225
data_Sr2LiPb6
_cell_length_a 7.316
_cell_length_b 7.316
_cell_length_c 7.316
_cell_angle_alpha 59.98
_cell_angle_beta 59.98
_cell_angle_gamma 59.99
_space_group_name_H-M_alt 'P 1'
_space_group_IT_number 1
loop_
_space_group_symop_operation_xyz
'x,y,z'
loop_
_atom_site_label
_atom_site_fract_x
_atom_site_fract_y
_atom_site_fract_z
Pb1 0.772 0.228 0.772
Pb2 0.772 0.772 0.229
Pb3 0.772 0.228 0.228
Pb4 0.228 0.228 0.771
Pb5 0.228 0.772 0.228
Pb6 0.228 0.772 0.772
Sr1 0.250 0.250 0.250
Sr2 0.750 0.750 0.750
Li1 0.500 0.500 0.500

Here are the calculated spin magnetization numbers, same order: 0.4605, 0.0000, 0.0000, 0.0000, 0.0000, 0.0000 (μB per atom).